(1)
! PBE HgOs2Au, relaxed; values from VASP
! - Formation energy: 721 meV per atom
! - Calculated volume: 16.822 Å³/atom
! - Symmetry: No. 8
&SYSTEM
  ibrav = 0, nat = 4, ntyp = 3
/
ATOMIC_SPECIES
Hg 200.59 Hg.upf
Os 190.23 Os.upf
Au 196.97 Au.upf
CELL_PARAMETERS angstrom
4.5766 -1.4330 0.0000
4.5766 1.4330 0.0000
-0.7715 0.0000 5.1301
ATOMIC_POSITIONS crystal
Hg 0.0000 0.0000 0.0000
Os 0.4930 0.4930 0.4737
Os 0.7554 0.7554 0.3091
Au 0.2444 0.2444 0.7690

(2)
! PBE HgOs2Au, relaxed; values from VASP
! - Formation energy: 1042 meV per atom
! - Calculated volume: 16.723 Å³/atom
! - Symmetry: No. 123
&SYSTEM
  ibrav = 0, nat = 4, ntyp = 3
/
ATOMIC_SPECIES
Hg 200.59 Hg.upf
Os 190.23 Os.upf
Au 196.97 Au.upf
CELL_PARAMETERS angstrom
3.9733 0.0000 0.0000
0.0000 3.9733 0.0000
0.0000 0.0000 4.2371
ATOMIC_POSITIONS crystal
Hg 0.0000 0.0000 0.0000
Os 0.0000 0.5000 0.5000
Os 0.5000 0.0000 0.5000
Au 0.5000 0.5000 0.0000

(3)
! PBE HgOs2Au, relaxed; values from VASP
! - Formation energy: 425 meV per atom
! - Calculated volume: 17.040 Å³/atom
! - Symmetry: No. 160
&SYSTEM
  ibrav = 0, nat = 4, ntyp = 3
/
ATOMIC_SPECIES
Hg 200.59 Hg.upf
Os 190.23 Os.upf
Au 196.97 Au.upf
CELL_PARAMETERS angstrom
1.4193 0.8194 9.7677
-1.4193 0.8194 9.7677
0.0000 -1.6389 9.7677
ATOMIC_POSITIONS crystal
Hg 0.0000 0.0000 0.0000
Os 0.4894 0.4894 0.4894
Os 0.7547 0.7547 0.7547
Au 0.2397 0.2397 0.2397

(4)
! PBE Hg2OsAu, relaxed; values from VASP
! - Formation energy: 590 meV per atom
! - Calculated volume: 19.643 Å³/atom
! - Symmetry: No. 160
&SYSTEM
  ibrav = 0, nat = 4, ntyp = 3
/
ATOMIC_SPECIES
Hg 200.59 Hg.upf
Os 190.23 Os.upf
Au 196.97 Au.upf
CELL_PARAMETERS angstrom
1.4411 0.8320 10.9217
-1.4411 0.8320 10.9217
0.0000 -1.6640 10.9217
ATOMIC_POSITIONS crystal
Hg 0.0000 0.0000 0.0000
Hg 0.2314 0.2314 0.2314
Os 0.4896 0.4896 0.4896
Au 0.7526 0.7526 0.7526

(5)
! PBE HgOsAu2, relaxed; values from VASP
! - Formation energy: 603 meV per atom
! - Calculated volume: 18.491 Å³/atom
! - Symmetry: No. 71
&SYSTEM
  ibrav = 0, nat = 4, ntyp = 3
/
ATOMIC_SPECIES
Hg 200.59 Hg.upf
Os 190.23 Os.upf
Au 196.97 Au.upf
CELL_PARAMETERS angstrom
-1.3985 2.5010 5.2869
1.3985 -2.5010 5.2869
1.3985 2.5010 -5.2869
ATOMIC_POSITIONS crystal
Hg 0.0000 0.0000 0.0000
Os 0.5000 0.5000 0.0000
Au 0.2730 0.7730 0.5000
Au 0.7270 0.2270 0.5000

(6)
! PBE HgOs2Au, relaxed; values from VASP
! - Formation energy: 370 meV per atom
! - Calculated volume: 17.072 Å³/atom
! - Symmetry: No. 99
&SYSTEM
  ibrav = 0, nat = 4, ntyp = 3
/
ATOMIC_SPECIES
Hg 200.59 Hg.upf
Os 190.23 Os.upf
Au 196.97 Au.upf
CELL_PARAMETERS angstrom
2.8646 0.0000 0.0000
0.0000 2.8646 0.0000
0.0000 0.0000 8.3220
ATOMIC_POSITIONS crystal
Hg 0.0000 0.0000 0.0000
Os 0.0000 0.0000 0.4602
Os 0.5000 0.5000 0.2675
Au 0.5000 0.5000 0.7153

(7)
! PBE HgOsAu2, relaxed; values from VASP
! - Formation energy: 573 meV per atom
! - Calculated volume: 17.804 Å³/atom
! - Symmetry: No. 99
&SYSTEM
  ibrav = 0, nat = 4, ntyp = 3
/
ATOMIC_SPECIES
Hg 200.59 Hg.upf
Os 190.23 Os.upf
Au 196.97 Au.upf
CELL_PARAMETERS angstrom
2.8907 0.0000 0.0000
0.0000 2.8907 0.0000
0.0000 0.0000 8.5228
ATOMIC_POSITIONS crystal
Hg 0.0000 0.0000 0.0000
Os 0.5000 0.5000 0.2480
Au 0.0000 0.0000 0.4749
Au 0.5000 0.5000 0.7293

(8)
! PBE HgOsAu2, relaxed; values from VASP
! - Formation energy: 609 meV per atom
! - Calculated volume: 18.119 Å³/atom
! - Symmetry: No. 44
&SYSTEM
  ibrav = 0, nat = 4, ntyp = 3
/
ATOMIC_SPECIES
Hg 200.59 Hg.upf
Os 190.23 Os.upf
Au 196.97 Au.upf
CELL_PARAMETERS angstrom
-1.3935 2.5321 5.1350
1.3935 -2.5321 5.1350
1.3935 2.5321 -5.1350
ATOMIC_POSITIONS crystal
Hg 0.0000 0.0000 0.0000
Os 0.2426 0.7426 0.5000
Au 0.4751 0.4751 0.0000
Au 0.7345 0.2345 0.5000

(9)
! PBE Hg2OsAu, relaxed; values from VASP
! - Formation energy: 594 meV per atom
! - Calculated volume: 18.505 Å³/atom
! - Symmetry: No. 166
&SYSTEM
  ibrav = 0, nat = 4, ntyp = 3
/
ATOMIC_SPECIES
Hg 200.59 Hg.upf
Os 190.23 Os.upf
Au 196.97 Au.upf
CELL_PARAMETERS angstrom
1.4852 0.8575 9.6869
-1.4852 0.8575 9.6869
0.0000 -1.7150 9.6869
ATOMIC_POSITIONS crystal
Hg 0.2475 0.2475 0.2475
Hg 0.7525 0.7525 0.7525
Os 0.5000 0.5000 0.5000
Au 0.0000 0.0000 0.0000

(10)
! PBE Hg2OsAu, relaxed; values from VASP
! - Formation energy: 713 meV per atom
! - Calculated volume: 18.598 Å³/atom
! - Symmetry: No. 12
&SYSTEM
  ibrav = 0, nat = 4, ntyp = 3
/
ATOMIC_SPECIES
Hg 200.59 Hg.upf
Os 190.23 Os.upf
Au 196.97 Au.upf
CELL_PARAMETERS angstrom
4.8851 -1.4653 0.0000
4.8851 1.4653 0.0000
-1.0306 0.0000 5.1963
ATOMIC_POSITIONS crystal
Hg 0.2439 0.2439 0.2428
Hg 0.7561 0.7561 0.7572
Os 0.5000 0.5000 0.0000
Au 0.0000 0.0000 0.5000

(11)
! PBE HgOsAu2, relaxed; values from VASP
! - Formation energy: 730 meV per atom
! - Calculated volume: 17.800 Å³/atom
! - Symmetry: No. 119
&SYSTEM
  ibrav = 0, nat = 4, ntyp = 3
/
ATOMIC_SPECIES
Hg 200.59 Hg.upf
Os 190.23 Os.upf
Au 196.97 Au.upf
CELL_PARAMETERS angstrom
-2.1071 2.1071 4.0092
2.1071 -2.1071 4.0092
2.1071 2.1071 -4.0092
ATOMIC_POSITIONS crystal
Hg 0.0000 0.0000 0.0000
Os 0.2500 0.7500 0.5000
Au 0.5000 0.5000 0.0000
Au 0.7500 0.2500 0.5000

(12)
! PBE HgOs2Au, relaxed; values from VASP
! - Formation energy: 1036 meV per atom
! - Calculated volume: 16.643 Å³/atom
! - Symmetry: No. 123
&SYSTEM
  ibrav = 0, nat = 4, ntyp = 3
/
ATOMIC_SPECIES
Hg 200.59 Hg.upf
Os 190.23 Os.upf
Au 196.97 Au.upf
CELL_PARAMETERS angstrom
2.8484 0.0000 0.0000
0.0000 2.8484 0.0000
0.0000 0.0000 8.2047
ATOMIC_POSITIONS crystal
Hg 0.0000 0.0000 0.0000
Os 0.5000 0.5000 0.2635
Os 0.5000 0.5000 0.7365
Au 0.0000 0.0000 0.5000